The following is a DFT calculation (PBE with a Hubbard U) of crystalline PaV2O8 at its relaxed geometry.

Results
DFT total energy   -7.89 eV per atom
Crystal system   monoclinic
Size of the total moment   0.093 μB per atom
Space-group type   C2/m (12)

Cell lengths 6.3350, 5.5994, 6.3350 Å; angles 76.70, 123.20, 103.30 degrees
Closest atoms and distances in Å follow each position.
Fractional coordinates of all 11 atoms:
O 0.6577 0.2095 0.3423  1 V 1.68
Pa 0.0000 0.0000 0.0000  6 O 2.15-2.23
O 0.0936 0.1911 0.3187  1 V 1.76
O 0.3423 0.7905 0.6577  1 V 1.68
O 0.6813 0.1911 0.9064  1 V 1.76
V 0.1868 0.6772 0.8132  4 O 1.68-1.80
O 0.3187 0.8089 0.0936  1 V 1.76
V 0.8132 0.3228 0.1868  4 O 1.68-1.80
O 0.8584 0.6552 0.1416  1 V 1.80
O 0.9064 0.8089 0.6813  1 V 1.76
O 0.1416 0.3448 0.8584  1 V 1.80